DFT (PBE) results for a relaxed structure of NiGeBr.

Geometry as POSCAR:
```
NiGeBr
1.0
4.222 0.000 0.000
0.950 4.159 0.000
0.486 0.617 8.550
Ni Ge Br
2 2 2
direct
0.000 0.000 0.000
0.405 0.305 0.090
0.313 0.826 0.230
0.856 0.524 0.098
0.059 0.711 0.478
0.514 0.072 0.836
```

Computed properties:
* calculated volume: 25.02 A^3/atom
* M_tot: 0.00 μB/f.u.
* uncorrected formation energy: -42 kJ/mol of formula units
* SG: P1


DFT (PBE) results for a relaxed structure of La6ErCd.

Geometry as POSCAR:
```
La6ErCd
1.0
5.120 0.000 0.000
0.000 5.120 0.000
0.000 0.000 10.353
La Er Cd
6 1 1
direct
0.000 0.000 0.000
0.000 0.000 0.500
0.000 0.500 0.247
0.000 0.500 0.753
0.500 0.000 0.247
0.500 0.000 0.753
0.500 0.500 0.500
0.500 0.500 0.000
```

Computed properties:
* calculated volume: 33.93 A^3/atom
* M_tot: 0.00 μB/f.u.
* SG: P4/mmm


DFT (PBE) results for a relaxed structure of BaH2O4.

Geometry as POSCAR:
```
BaH2O4
1.0
4.174 0.000 0.000
0.000 9.544 0.000
-1.237 0.000 8.456
Ba H O
4 8 16
direct
0.133 0.202 0.124
0.133 0.298 0.624
0.867 0.702 0.376
0.867 0.798 0.876
0.281 0.571 0.131
0.281 0.929 0.631
0.448 0.606 0.656
0.448 0.894 0.156
0.552 0.106 0.844
0.552 0.394 0.344
0.719 0.071 0.369
0.719 0.429 0.869
0.152 0.003 0.691
0.152 0.497 0.191
0.292 0.698 0.666
0.292 0.802 0.166
0.341 0.502 0.353
0.341 0.998 0.853
0.443 0.695 0.072
0.443 0.805 0.572
0.557 0.195 0.428
0.557 0.305 0.928
0.659 0.002 0.147
0.659 0.498 0.647
0.708 0.198 0.834
0.708 0.302 0.334
0.848 0.503 0.809
0.848 0.997 0.309
```

Computed properties:
* calculated volume: 12.03 A^3/atom
* M_tot: 0.00 μB/f.u.
* SG: P2_1/c


DFT (PBE) results for a relaxed structure of Pm2Sm2Er7.

Geometry as POSCAR:
```
Pm2Sm2Er7
1.0
5.603 -5.780 0.000
5.603 5.780 0.000
-2.446 0.000 5.540
Pm Sm Er
2 2 7
direct
0.097 0.097 0.310
0.903 0.903 0.690
0.289 0.711 0.000
0.711 0.289 0.000
0.089 0.565 0.324
0.268 0.268 0.922
0.435 0.911 0.676
0.500 0.500 0.500
0.565 0.089 0.324
0.732 0.732 0.078
0.911 0.435 0.676
```

Computed properties:
* calculated volume: 32.62 A^3/atom
* M_tot: 0.00 μB/f.u.
* SG: C2/m


DFT (PBE) results for a relaxed structure of Sc2InCl.

Geometry as POSCAR:
```
Sc2InCl
1.0
12.271 0.000 0.000
0.000 3.286 0.000
-1.924 0.000 4.476
Sc In Cl
4 2 2
direct
0.000 0.000 0.000
0.244 0.500 0.243
0.500 0.500 0.000
0.744 0.000 0.243
0.048 0.500 0.548
0.548 0.000 0.548
0.317 0.000 0.818
0.817 0.500 0.818
```

Computed properties:
* calculated volume: 22.56 A^3/atom
* M_tot: 0.00 μB/f.u.
* uncorrected formation energy: -237 kJ/mol of formula units
* SG: Cm


DFT (PBE) results for a relaxed structure of TbZr3.

Geometry as POSCAR:
```
TbZr3
1.0
4.637 0.000 0.000
0.000 4.637 0.000
0.000 0.000 9.208
Tb Zr
2 6
direct
0.000 0.000 0.000
0.500 0.500 0.500
0.000 0.000 0.500
0.000 0.500 0.250
0.000 0.500 0.750
0.500 0.000 0.250
0.500 0.000 0.750
0.500 0.500 0.000
```

Computed properties:
* calculated volume: 24.75 A^3/atom
* M_tot: 0.00 μB/f.u.
* SG: I4/mmm


DFT (PBE) results for a relaxed structure of K2SiRh.

Geometry as POSCAR:
```
K2SiRh
1.0
3.815 0.000 0.000
0.000 5.415 0.000
0.000 0.000 12.045
K Si Rh
4 2 2
direct
0.000 0.000 0.000
0.000 0.500 0.500
0.500 0.000 0.294
0.500 0.500 0.794
0.500 0.000 0.595
0.500 0.500 0.095
0.000 0.000 0.695
0.000 0.500 0.195
```

Computed properties:
* calculated volume: 31.10 A^3/atom
* M_tot: 0.00 μB/f.u.
* uncorrected formation energy: 7 kJ/mol of formula units
* SG: Amm2


DFT (PBE) results for a relaxed structure of CaAc2Hg.

Geometry as POSCAR:
```
CaAc2Hg
1.0
3.869 0.000 0.000
-1.934 3.350 0.000
0.000 0.000 39.591
Ca Ac Hg
3 6 3
direct
0.000 0.000 0.000
0.333 0.667 0.667
0.667 0.333 0.333
0.000 0.000 0.414
0.000 0.000 0.586
0.333 0.667 0.081
0.333 0.667 0.252
0.667 0.333 0.748
0.667 0.333 0.919
0.000 0.000 0.500
0.333 0.667 0.167
0.667 0.333 0.833
```

Computed properties:
* calculated volume: 42.76 A^3/atom
* M_tot: 0.00 μB/f.u.
* SG: R-3m


DFT (PBE) results for a relaxed structure of Li2Fe2P.

Geometry as POSCAR:
```
Li2Fe2P
1.0
5.612 0.000 0.000
0.000 5.612 0.000
0.000 0.000 3.170
Li Fe P
4 4 2
direct
0.119 0.381 0.000
0.381 0.881 0.000
0.619 0.119 0.000
0.881 0.619 0.000
0.191 0.691 0.500
0.309 0.191 0.500
0.691 0.809 0.500
0.809 0.309 0.500
0.000 0.000 0.000
0.500 0.500 0.000
```

Computed properties:
* calculated volume: 9.98 A^3/atom
* M_tot: 0.00 μB/f.u.
* SG: P4/mbm


DFT (PBE) results for a relaxed structure of Y2Er5Tm2.

Geometry as POSCAR:
```
Y2Er5Tm2
1.0
8.146 -2.842 0.000
8.146 2.842 0.000
-1.743 0.000 6.070
Y Er Tm
2 5 2
direct
0.063 0.063 0.287
0.937 0.937 0.713
0.181 0.181 0.859
0.292 0.292 0.432
0.500 0.500 0.500
0.708 0.708 0.568
0.819 0.819 0.141
0.399 0.399 0.985
0.601 0.601 0.015
```

Computed properties:
* calculated volume: 31.23 A^3/atom
* M_tot: 0.01 μB/f.u.
* SG: C2/m


Number 1: VASP energy -12.509 eV/f.u.. Number 2: VASP energy -35.507 eV/f.u.. Number 3: VASP energy -36.596 eV/f.u.. Number 4: VASP energy -49.198 eV/f.u.. Number 5: VASP energy -19.708 eV/f.u.. Number 6: VASP energy -29.807 eV/f.u.. Number 7: VASP energy -14.893 eV/f.u.. Number 8: VASP energy -9.930 eV/f.u.. Number 9: VASP energy -24.218 eV/f.u.. Number 10: VASP energy -43.620 eV/f.u..